Record 1
VASP calculation (PBE) on La5Sc4Ga4 after structural relaxation.

The structure belongs to space group I4/m (No. 87); the cell edges are 12.468, 12.468 and 4.578 Å and the angles 90.00°, 90.00° and 90.00°. Symmetry generates all atoms from La at (0.000, 0.000, 0.000), La at (0.134, 0.795, 0.500), Sc at (0.079, 0.397, 0.500) and Ga at (0.060, 0.256, 0.000).

As for the energy relative to the elements: -0.384 eV/atom.

Record 2
VASP calculation (PBE) on Ac2Nd3Er6 after structural relaxation.

The structure belongs to space group C2/m (No. 12); the cell edges are 6.238, 10.815 and 11.958 Å and the angles 90.00°, 100.03° and 90.00°. Symmetry generates all atoms from Ac at (0.000, 0.167, 0.000), Nd at (0.000, 0.000, 0.500), Nd at (0.000, 0.335, 0.500), Er at (0.246, 0.500, 0.743) and Er at (0.248, 0.166, 0.743).

As for the energy relative to the elements: 0.190 eV/atom.

Question: Number 1 is which compound?
Answer: La5Sc4Ga4